# VS2 PBE optimized geometry
data_VS2
_cell_length_a 5.5201
_cell_length_b 3.1873
_cell_length_c 6.5684
_cell_angle_alpha 90.00
_cell_angle_beta 90.13
_cell_angle_gamma 90.00
_symmetry_space_group_name_H-M 'C 1 2/m 1'
_symmetry_Int_Tables_number 12
_symmetry_space_group_name_Hall '-C 2y'
loop_
_atom_site_label
_atom_site_type_symbol
_atom_site_fract_x
_atom_site_fract_y
_atom_site_fract_z
_atom_site_occupancy
V1 V 0.0000 0.0000 0.0000 1
S1 S 0.1672 0.5000 0.2237 1
# Electronic total energy, eV/atom: -6.633
# Theoretical density, Mg/m³: 3.3
# Formation energy from raw total energies, eV per formula unit: -2.53